The following is a GGA-PBE calculation of a relaxed structure of Li4Zn3Ag, from Alexandria.

Lattice parameters (Å, degrees): 9.090 5.613 4.804 90.00 90.00 90.00
Atoms (fractional coordinates):
1 Li 0.000 0.249 0.000
2 Li 0.000 0.751 0.000
3 Li 0.250 0.248 0.350
4 Li 0.250 0.752 0.350
5 Li 0.500 0.249 0.000
6 Li 0.500 0.751 0.000
7 Li 0.750 0.248 0.650
8 Li 0.750 0.752 0.650
9 Zn 0.000 0.000 0.500
10 Zn 0.250 0.000 0.844
11 Zn 0.250 0.500 0.848
12 Zn 0.500 0.000 0.500
13 Zn 0.750 0.000 0.156
14 Zn 0.750 0.500 0.152
15 Ag 0.000 0.500 0.500
16 Ag 0.500 0.500 0.500

Results
Energy of formation in eV/atom: -0.178
Crystal system: orthorhombic
Total magnetization in μB per atom: 0.000
Relative energy among the computed polymorphs in meV per atom: 0.0